Below is an optimized crystal structure of MnBrO2, with properties calculated at the PBE+U level.

abc: 6.2914 6.2914 6.2914
angles: 29.95 29.95 29.95
Last column: nearest neighbours and their distance in Å.
Fractional positions:
Mn1 0.5000 0.5000 0.5000  6 O 2.12
O1 0.8880 0.8880 0.8880  1 Br 2.02, 3 Mn 2.12
O2 0.1120 0.1120 0.1120  1 Br 2.02, 3 Mn 2.12
Br1 0.0000 0.0000 0.0000  2 O 2.02

Electronic total energy ... -5.6004 eV/atom
Offset from the most stable computed form ... 0 meV/atom